## ZrZn2Ni (PBE)

Data for a geometry-optimized ZrZn2Ni structure.

SG = R-3m, No. 166
DOS(E_F) = 2.5 states/eV per cell
size of the total moment = 0.000 μB per formula unit
energy = -4.234 eV/atom
ρ = 7.218 g/cm3
formation energy = -0.014 eV/atom

Unit cell a=8.8086 b=8.8086 c=8.8086 alpha=19.19 beta=19.19 gamma=19.19
Atoms (fractional coordinates):
Ni1 0.7500 0.7500 0.7500
Zn1 0.0126 0.0126 0.0126
Zn2 0.4874 0.4874 0.4874
Zr1 0.2500 0.2500 0.2500